DFT (GGA+U) results for an optimized crystal structure of ZrCo2SbO6.

a b c (Å): 5.3587 5.3593 5.6046
angles (deg): 61.44 61.42 59.98
Last column: nearest neighbours and their distance in Å.
Element x y z (fractional)
Co: 0.5110 0.5109 0.4672  6 O 1.95-1.99
Co: 0.0246 0.0248 0.9260  6 O 2.06-2.20
O: 0.4051 0.7193 0.7335  2 Co 1.99-2.06, 1 Zr 2.13
O: 0.2396 0.8477 0.2524  1 Co 1.95, 1 Zr 2.16
O: 0.1420 0.4052 0.7335  2 Co 1.99-2.06, 1 Zr 2.13
O: 0.8479 0.6600 0.2523  1 Co 1.95, 1 Zr 2.17
O: 0.6601 0.2396 0.2524  1 Co 1.95, 1 Zr 2.16
O: 0.7197 0.1421 0.7332  2 Co 1.99-2.06, 1 Zr 2.13
Zr: 0.8107 0.8108 0.5679  6 O 2.13-2.17
Sb: 0.3008 0.3012 0.0969  6 O 2.29-2.30

## Properties
- uncorrected energy (eV/atom) = -6.896
- size of the total moment (μB per formula unit) = 3.021